A plane-wave DFT calculation with PBE was carried out for a geometry-optimized K4CdO2 structure.

## Properties
relative energy among the computed polymorphs	624	meV/atom
electronic total energy	-2.334	eV per atom
N(E_F)	5.5	states/eV per cell
formation energy (no corrections)	-0.160	eV per atom
SG	No. 139

Cell: 5.863 5.863 15.047 Å, 90.00 90.00 90.00°
Sites, in units of the cell vectors:
K 0.000 0.000 0.234
K 0.000 0.000 0.766
K 0.000 0.500 0.000
K 0.000 0.500 0.500
K 0.500 0.000 0.000
K 0.500 0.000 0.500
K 0.500 0.500 0.266
K 0.500 0.500 0.734
Cd 0.000 0.000 0.000
Cd 0.500 0.500 0.500
O 0.000 0.000 0.391
O 0.000 0.000 0.609
O 0.500 0.500 0.109
O 0.500 0.500 0.891

***

A plane-wave DFT calculation with PBE was carried out for a geometry-optimized TlSi2Mo structure.

## Properties
relative energy among the computed polymorphs	194	meV/atom
electronic total energy	-5.664	eV per atom
N(E_F)	3.0	states/eV per cell
formation energy (no corrections)	0.347	eV per atom
SG	No. 99

Cell: 3.318 3.318 6.702 Å, 90.00 90.00 90.00°
Sites, in units of the cell vectors:
Tl 0.000 0.000 0.000
Si 0.000 0.000 0.470
Si 0.500 0.500 0.679
Mo 0.500 0.500 0.324

***

> The lowest relative energy among the computed polymorphs belongs to which entry?

TlSi2Mo

***

> Among the records above, which one has the lowest relative energy among the computed polymorphs?

TlSi2Mo

***

> Which value of relative energy among the computed polymorphs does entry 2 give?

194 meV/atom

***

> Which value of N(E_F) does entry 1 give?

5.5 states/eV per cell